Entry from the Alexandria database: an optimized crystal structure of Pr6SbTe3P2 (PBE-GGA).

Cell and atoms, written as CIF:
```
data_Pr6SbTe3P2
_chemical_formula_sum 'Pr12 Sb2 Te6 P4'
_cell_length_a 19.492
_cell_length_b 4.376
_cell_length_c 8.975
_cell_angle_alpha 90.00
_cell_angle_beta 104.86
_cell_angle_gamma 90.00
_space_group_name_H-M_alt 'C 1 2/m 1'
_space_group_IT_number 12
loop_
_space_group_symop_operation_xyz
'x,y,z'
'-x,-y,-z'
'-x,y,-z'
'x,-y,z'
'x+1/2,y+1/2,z'
'-x+1/2,-y+1/2,-z'
'-x+1/2,y+1/2,-z'
'x+1/2,-y+1/2,z'
loop_
_atom_site_label
_atom_site_type_symbol
_atom_site_fract_x
_atom_site_fract_y
_atom_site_fract_z
_atom_site_occupancy
Pr1 Pr 0.014 0.000 0.254 1
Pr2 Pr 0.169 0.500 0.115 1
Pr3 Pr 0.176 0.500 0.565 1
Sb1 Sb 0.000 0.500 0.000 1
Te1 Te 0.000 0.500 0.500 1
Te2 Te 0.162 0.000 0.833 1
P1 P 0.169 0.000 0.336 1
```

## Properties
The calculation puts the theoretical density at 6.3 Mg/m³. The formation energy from raw total energies comes out at -1.49 eV per atom. Its volume is 30.83 Å³/atom. The value obtained for the density of states at the Fermi level is 0.395 states/eV per atom.